A relaxed NiGe2BC crystal. Source: the Alexandria database, functional PBEsol.

Calculated values
formation energy from the elements	1.467	eV/atom
calculated density	5.3	g/cm³

Lattice parameters (Å, degrees): 3.6016 4.4413 4.4413 90.00 90.00 90.00
Fractional coordinates of all 5 atoms:
Ni1 0.0000 0.0000 0.0000
Ge1 0.0000 0.0000 0.5000
Ge2 0.0000 0.5000 0.0000
B1 0.5000 0.0000 0.0000
C1 0.5000 0.5000 0.5000

A relaxed Mg2B4H22C2S crystal. Source: the Alexandria database, functional PBEsol.

Calculated values
electronic total energy	-4.31	eV/atom
calculated density	0.9	g/cm³

Lattice parameters (Å, degrees): 7.5194 7.7997 12.2885 83.08 75.53 61.18
Fractional coordinates of all 62 atoms:
Mg1 0.6026 0.8238 0.0566
Mg2 0.4264 0.1762 0.5566
Mg3 0.6962 0.5320 0.7037
Mg4 0.2282 0.4680 0.2037
B1 0.6302 0.6764 0.8813
B2 0.3066 0.3236 0.3813
B3 0.0668 0.3142 0.6719
B4 0.3810 0.6858 0.1719
B5 0.5271 0.8308 0.6060
B6 0.3579 0.1692 0.1060
B7 0.5618 0.3456 0.6448
B8 0.9074 0.6544 0.1448
H1 0.1409 0.7050 0.9097
H2 0.8459 0.2950 0.4097
H3 0.1417 0.8702 0.7934
H4 0.0118 0.1298 0.2934
H5 0.0252 0.7150 0.7962
H6 0.7402 0.2850 0.2962
H7 0.9805 0.9878 0.0576
H8 0.9683 0.0122 0.5576
H9 0.7532 0.2177 0.0480
H10 0.9709 0.7823 0.5480
H11 0.9890 0.1551 0.9433
H12 0.1441 0.8449 0.4433
H13 0.4878 0.8397 0.9110
H14 0.3275 0.1603 0.4110
H15 0.7416 0.5863 0.9482
H16 0.3279 0.4137 0.4482
H17 0.5488 0.5769 0.8695
H18 0.1257 0.4231 0.3695
H19 0.7431 0.6991 0.7954
H20 0.4422 0.3009 0.2954
H21 0.9451 0.2808 0.7480
H22 0.2259 0.7192 0.2480
H23 0.2041 0.3027 0.7136
H24 0.5068 0.6973 0.2136
H25 0.1265 0.1950 0.5973
H26 0.3215 0.8050 0.0973
H27 0.9896 0.4791 0.6298
H28 0.4687 0.5209 0.1298
H29 0.4425 0.8998 0.5268
H30 0.3422 0.1002 0.0268
H31 0.7069 0.7071 0.5662
H32 0.4140 0.2929 0.0662
H33 0.5372 0.9464 0.6610
H34 0.4836 0.0536 0.1610
H35 0.4234 0.7632 0.6712
H36 0.1866 0.2368 0.1712
H37 0.4902 0.4248 0.7380
H38 0.9150 0.5752 0.2380
H39 0.6086 0.1731 0.6641
H40 0.7816 0.8269 0.1641
H41 0.4278 0.4348 0.5900
H42 0.8626 0.5652 0.0900
H43 0.7212 0.3508 0.5906
H44 0.0720 0.6492 0.0906
C1 0.0532 0.8014 0.8479
C2 0.8546 0.1986 0.3479
C3 0.8922 0.0964 0.9997
C4 0.9886 0.9036 0.4997
S1 0.8052 0.9893 0.9169
S2 0.7945 0.0107 0.4169

A relaxed Si2BPH28C9 crystal. Source: the Alexandria database, functional PBEsol.

Calculated values
electronic total energy	-5.15	eV/atom
calculated density	1.0	g/cm³

Lattice parameters (Å, degrees): 8.7554 12.2033 14.7835 90.00 90.00 105.45
Fractional coordinates of all 164 atoms:
Si1 0.8075 0.8144 0.6225
Si2 0.1925 0.6856 0.1225
Si3 0.1925 0.1856 0.3775
Si4 0.8075 0.3144 0.8775
Si5 0.5342 0.7611 0.7742
Si6 0.4658 0.7389 0.2742
Si7 0.4658 0.2389 0.2258
Si8 0.5342 0.2611 0.7258
B1 0.9657 0.6898 0.8191
B2 0.0343 0.8102 0.3191
B3 0.0343 0.3102 0.1809
B4 0.9657 0.1898 0.6809
P1 0.8937 0.8241 0.8269
P2 0.1063 0.6759 0.3269
P3 0.1063 0.1759 0.1731
P4 0.8937 0.3241 0.6731
H1 0.0594 0.6989 0.8821
H2 0.9406 0.8011 0.3821
H3 0.9406 0.3011 0.1179
H4 0.0594 0.1989 0.6179
H5 0.0314 0.6941 0.7458
H6 0.9686 0.8059 0.2458
H7 0.9686 0.3059 0.2542
H8 0.0314 0.1941 0.7542
H9 0.8511 0.6076 0.8268
H10 0.1489 0.8924 0.3268
H11 0.1489 0.3924 0.1732
H12 0.8511 0.1076 0.6732
H13 0.7517 0.9315 0.7446
H14 0.2483 0.5685 0.2446
H15 0.2483 0.0685 0.2554
H16 0.7517 0.4315 0.7554
H17 0.0202 0.0278 0.8152
H18 0.9798 0.4722 0.3152
H19 0.9798 0.9722 0.1848
H20 0.0202 0.5278 0.6848
H21 0.1307 0.9443 0.7588
H22 0.8693 0.5557 0.2588
H23 0.8693 0.0557 0.2412
H24 0.1307 0.4443 0.7412
H25 0.1351 0.9521 0.8795
H26 0.8649 0.5479 0.3795
H27 0.8649 0.0479 0.1205
H28 0.1351 0.4521 0.6205
H29 0.9134 0.8388 0.9884
H30 0.0866 0.6612 0.4884
H31 0.0866 0.1612 0.0116
H32 0.9134 0.3388 0.5116
H33 0.7164 0.7670 0.9555
H34 0.2836 0.7330 0.4555
H35 0.2836 0.2330 0.0445
H36 0.7164 0.2670 0.5445
H37 0.7837 0.9192 0.9456
H38 0.2163 0.5808 0.4456
H39 0.2163 0.0808 0.0544
H40 0.7837 0.4192 0.5544
H41 0.7957 0.6449 0.5286
H42 0.2043 0.8551 0.0286
H43 0.2043 0.3551 0.4714
H44 0.7957 0.1449 0.9714
H45 0.6278 0.6166 0.6013
H46 0.3722 0.8834 0.1013
H47 0.3722 0.3834 0.3987
H48 0.6278 0.1166 0.8987
H49 0.8168 0.6148 0.6462
H50 0.1832 0.8852 0.1462
H51 0.1832 0.3852 0.3538
H52 0.8168 0.1148 0.8538
H53 0.7322 0.9805 0.5595
H54 0.2678 0.5195 0.0595
H55 0.2678 0.0195 0.4405
H56 0.7322 0.4805 0.9405
H57 0.5736 0.8555 0.5416
H58 0.4264 0.6445 0.0416
H59 0.4264 0.1445 0.4584
H60 0.5736 0.3555 0.9584
H61 0.7483 0.8819 0.4737
H62 0.2517 0.6181 0.9737
H63 0.2517 0.1181 0.5263
H64 0.7483 0.3819 0.0263
H65 0.0442 0.8664 0.5270
H66 0.9558 0.6337 0.0270
H67 0.9558 0.1336 0.4730
H68 0.0442 0.3664 0.9730
H69 0.1009 0.8352 0.6382
H70 0.8991 0.6648 0.1382
H71 0.8991 0.1648 0.3618
H72 0.1009 0.3352 0.8618
H73 0.0586 0.9687 0.6142
H74 0.9414 0.5313 0.1142
H75 0.9414 0.0313 0.3858
H76 0.0586 0.4687 0.8858
H77 0.4688 0.9305 0.8415
H78 0.5312 0.5695 0.3415
H79 0.5312 0.0695 0.1585
H80 0.4688 0.4305 0.6585
H81 0.5062 0.8414 0.9297
H82 0.4938 0.6586 0.4297
H83 0.4938 0.1586 0.0703
H84 0.5062 0.3414 0.5703
H85 0.3245 0.8014 0.8684
H86 0.6755 0.6986 0.3684
H87 0.6755 0.1986 0.1316
H88 0.3245 0.3014 0.6316
H89 0.4255 0.7004 0.6180
H90 0.5745 0.7996 0.1180
H91 0.5745 0.2996 0.3820
H92 0.4255 0.2004 0.8820
H93 0.3972 0.8353 0.6488
H94 0.6028 0.6647 0.1488
H95 0.6028 0.1647 0.3512
H96 0.3972 0.3353 0.8512
H97 0.2770 0.7087 0.6988
H98 0.7230 0.7913 0.1988
H99 0.7230 0.2913 0.3012
H100 0.2770 0.2087 0.8012
H101 0.3921 0.5691 0.8266
H102 0.6079 0.9309 0.3266
H103 0.6079 0.4309 0.1734
H104 0.3921 0.0691 0.6734
H105 0.5827 0.6094 0.8781
H106 0.4173 0.8906 0.3781
H107 0.4173 0.3906 0.1219
H108 0.5827 0.1094 0.6219
H109 0.5648 0.5640 0.7638
H110 0.4352 0.9360 0.2638
H111 0.4352 0.4360 0.2362
H112 0.5648 0.0640 0.7362
C1 0.7481 0.8396 0.7441
C2 0.2519 0.6604 0.2441
C3 0.2519 0.1604 0.2559
C4 0.7481 0.3396 0.7559
C5 0.0599 0.9494 0.8193
C6 0.9401 0.5506 0.3193
C7 0.9401 0.0506 0.1807
C8 0.0599 0.4494 0.6807
C9 0.8185 0.8391 0.9395
C10 0.1815 0.6609 0.4395
C11 0.1815 0.1609 0.0605
C12 0.8185 0.3391 0.5605
C13 0.7561 0.6577 0.5978
C14 0.2439 0.8423 0.0978
C15 0.2439 0.3423 0.4022
C16 0.7561 0.1577 0.9022
C17 0.7032 0.8892 0.5426
C18 0.2968 0.6108 0.0426
C19 0.2968 0.1108 0.4574
C20 0.7032 0.3892 0.9574
C21 0.0237 0.8766 0.5999
C22 0.9763 0.6234 0.0999
C23 0.9763 0.1234 0.4001
C24 0.0237 0.3766 0.9001
C25 0.4531 0.8413 0.8622
C26 0.5469 0.6587 0.3622
C27 0.5469 0.1587 0.1378
C28 0.4531 0.3413 0.6378
C29 0.3980 0.7507 0.6746
C30 0.6020 0.7493 0.1746
C31 0.6020 0.2493 0.3253
C32 0.3980 0.2507 0.8254
C33 0.5181 0.6127 0.8147
C34 0.4819 0.8873 0.3147
C35 0.4819 0.3873 0.1853
C36 0.5181 0.1127 0.6853

A relaxed HfBIrC2 crystal. Source: the Alexandria database, functional PBEsol.

Calculated values
formation energy from the elements	1.381	eV/atom
calculated density	10.8	g/cm³

Lattice parameters (Å, degrees): 3.8653 3.8653 4.1833 90.00 90.00 90.00
Fractional coordinates of all 5 atoms:
C1 0.0000 0.5000 0.0000
C2 0.5000 0.0000 0.0000
Ir1 0.0000 0.0000 0.0000
Hf1 0.5000 0.5000 0.5000
B1 0.0000 0.0000 0.5000

A relaxed HfMn2BC crystal. Source: the Alexandria database, functional PBEsol.

Calculated values
formation energy from the elements	0.165	eV/atom
calculated density	8.8	g/cm³

Lattice parameters (Å, degrees): 3.6665 3.6665 4.3856 90.00 90.00 90.00
Last column: magnetic moment on the atom in μB.
Fractional coordinates of all 5 atoms:
C1 0.0000 0.0000 0.0000  -0.08
Mn1 0.0000 0.5000 0.0000  1.61
Mn2 0.5000 0.0000 0.0000  1.61
Hf1 0.0000 0.0000 0.5000  -0.07
B1 0.5000 0.5000 0.5000  -0.01

A relaxed Hf2SnBC crystal. Source: the Alexandria database, functional PBEsol.

Calculated values
formation energy from the elements	1.036	eV/atom
calculated density	9.9	g/cm³

Lattice parameters (Å, degrees): 4.0429 4.5543 4.5543 90.00 90.00 90.00
Fractional coordinates of all 5 atoms:
C1 0.5000 0.5000 0.5000
B1 0.0000 0.0000 0.0000
Hf1 0.0000 0.0000 0.5000
Hf2 0.0000 0.5000 0.0000
Sn1 0.5000 0.0000 0.0000

A relaxed HgBC2 crystal. Source: the Alexandria database, functional PBEsol.

Calculated values
formation energy from the elements	1.232	eV/atom
calculated density	9.3	g/cm³

Lattice parameters (Å, degrees): 4.6139 5.1342 4.6139 63.30 90.00 116.70
Fractional coordinates of all 8 atoms:
C1 0.5069 0.7500 0.3750
C2 0.2431 0.7500 0.8750
C3 0.8750 0.2500 0.5069
C4 0.3750 0.2500 0.2431
B1 0.2500 0.5000 0.2500
B2 0.5000 0.0000 0.5000
Hg1 0.7500 0.5000 0.7500
Hg2 0.0000 0.0000 0.0000

A relaxed Ho2B4C crystal. Source: the Alexandria database, functional PBEsol.

Calculated values
formation energy from the elements	-0.643	eV/atom
calculated density	8.2	g/cm³

Lattice parameters (Å, degrees): 3.2357 5.1919 5.1919 77.94 71.84 71.84
Fractional coordinates of all 7 atoms:
C1 0.0000 0.0000 0.0000
B1 0.5000 0.6352 0.3648
B2 0.5000 0.3648 0.6352
B3 0.0000 0.2280 0.7720
B4 0.0000 0.7720 0.2280
Ho1 0.2654 0.2346 0.2346
Ho2 0.7346 0.7654 0.7654

What did the fourth record say?
A relaxed HfBIrC2 crystal. Source: the Alexandria database, functional PBEsol.

Calculated values
formation energy from the elements	1.381	eV/atom
calculated density	10.8	g/cm³

Lattice parameters (Å, degrees): 3.8653 3.8653 4.1833 90.00 90.00 90.00
Fractional coordinates of all 5 atoms:
C1 0.0000 0.5000 0.0000
C2 0.5000 0.0000 0.0000
Ir1 0.0000 0.0000 0.0000
Hf1 0.5000 0.5000 0.5000
B1 0.0000 0.0000 0.5000

Q: Which value of calculated density does entry 2 give?
A: 0.9 g/cm³